# MnBiNO2 (PBE with a Hubbard U, optimized geometry)
# electronic total energy	-5.753	eV per atom
# magnetization	0.96	μB/atom
# D(E_F)	2.89	states/eV per cell
data_MnBiNO2
_cell_length_a 4.206
_cell_length_b 4.206
_cell_length_c 4.280
_cell_angle_alpha 90.00
_cell_angle_beta 90.00
_cell_angle_gamma 90.00
_symmetry_space_group_name_H-M 'P 4/m m m'
_symmetry_Int_Tables_number 123
_symmetry_space_group_name_Hall '-P 4 2'
loop_
_atom_site_label
_atom_site_type_symbol
_atom_site_fract_x
_atom_site_fract_y
_atom_site_fract_z
Mn1 Mn 0.000 0.000 0.000
Bi1 Bi 0.500 0.500 0.500
N1 N 0.500 0.500 0.000
O1 O 0.000 0.500 0.500